No. 1
# FeWClO4 (meta-GGA SCAN, PBEsol geometry)
data_FeWClO4
_chemical_formula_sum 'Fe2 W2 Cl2 O8'
_cell_length_a 6.684
_cell_length_b 6.684
_cell_length_c 5.394
_cell_angle_alpha 90.00
_cell_angle_beta 90.00
_cell_angle_gamma 90.00
_space_group_name_H-M_alt 'P 4/n m m'
_space_group_IT_number 129
loop_
_space_group_symop_operation_xyz
'x,y,z'
'-x,-y,-z'
'-y+1/2,x,z'
'y+1/2,-x,-z'
'-x+1/2,-y+1/2,z'
'x+1/2,y+1/2,-z'
'y,-x+1/2,z'
'-y,x+1/2,-z'
'x+1/2,-y,-z'
'-x+1/2,y,z'
'-y,-x,-z'
'y,x,z'
'-x,y+1/2,-z'
'x,-y+1/2,z'
'y+1/2,x+1/2,-z'
'-y+1/2,-x+1/2,z'
loop_
_atom_site_label
_atom_site_fract_x
_atom_site_fract_y
_atom_site_fract_z
Fe1 0.250 0.250 0.222
W1 0.250 0.750 0.500
Cl1 0.250 0.250 0.816
O1 0.033 0.750 0.694
# E_form (uncorrected) (eV per atom): -1.847
# Total magnetic moment (μB per atom): 0.714

***

No. 2
# FeOsCl2 (meta-GGA SCAN, PBEsol geometry)
data_FeOsCl2
_chemical_formula_sum 'Fe1 Os1 Cl2'
_cell_length_a 4.320
_cell_length_b 4.320
_cell_length_c 2.968
_cell_angle_alpha 90.00
_cell_angle_beta 90.00
_cell_angle_gamma 90.00
_space_group_name_H-M_alt 'P 4/m m m'
_space_group_IT_number 123
_space_group_name_Hall '-P 4 2'
loop_
_atom_site_label
_atom_site_fract_x
_atom_site_fract_y
_atom_site_fract_z
Fe1 0.000 0.000 0.000
Os1 0.500 0.500 0.000
Cl1 0.000 0.500 0.500
# Relative energy among the computed polymorphs (eV per formula unit): 1.374
# E_form (uncorrected) (eV per atom): 1.106
# Total magnetic moment (μB per atom): 0.899

***

No. 3
# FeOsCl2 (meta-GGA SCAN, PBEsol geometry)
data_FeOsCl2
_chemical_formula_sum 'Fe4 Os4 Cl8'
_cell_length_a 6.186
_cell_length_b 6.186
_cell_length_c 6.186
_cell_angle_alpha 90.00
_cell_angle_beta 90.00
_cell_angle_gamma 90.00
_space_group_name_H-M_alt 'F -4 3 m'
_space_group_IT_number 216
_space_group_name_Hall 'F -4 2 3'
loop_
_atom_site_label
_atom_site_fract_x
_atom_site_fract_y
_atom_site_fract_z
Fe1 0.000 0.000 0.000
Os1 0.250 0.250 0.250
Cl1 0.000 0.000 0.500
Cl2 0.250 0.250 0.750
# Relative energy among the computed polymorphs (eV per formula unit): 2.078
# E_form (uncorrected) (eV per atom): 1.281
# Total magnetic moment (μB per atom): 0.514

***

No. 4
# FeOs2Cl (meta-GGA SCAN, PBEsol geometry)
data_FeOs2Cl
_chemical_formula_sum 'Fe2 Os4 Cl2'
_cell_length_a 5.291
_cell_length_b 8.811
_cell_length_c 2.774
_cell_angle_alpha 90.00
_cell_angle_beta 119.48
_cell_angle_gamma 90.00
_space_group_name_H-M_alt 'C 1 2/m 1'
_space_group_IT_number 12
loop_
_space_group_symop_operation_xyz
'x,y,z'
'-x,-y,-z'
'-x,y,-z'
'x,-y,z'
'x+1/2,y+1/2,z'
'-x+1/2,-y+1/2,-z'
'-x+1/2,y+1/2,-z'
'x+1/2,-y+1/2,z'
loop_
_atom_site_label
_atom_site_fract_x
_atom_site_fract_y
_atom_site_fract_z
Fe1 0.000 0.000 0.000
Os1 0.250 0.250 0.500
Cl1 0.000 0.500 0.000
# Relative energy among the computed polymorphs (eV per formula unit): 1.422
# E_form (uncorrected) (eV per atom): 1.010
# Total magnetic moment (μB per atom): 0.964

***

No. 5
# FeOs2Cl (meta-GGA SCAN, PBEsol geometry)
data_FeOs2Cl
_chemical_formula_sum 'Fe3 Os6 Cl3'
_cell_length_a 2.7569
_cell_length_b 2.7569
_cell_length_c 24.6203
_cell_angle_alpha 90.00
_cell_angle_beta 90.00
_cell_angle_gamma 120.00
_space_group_name_H-M_alt 'R -3 m'
_space_group_IT_number 166
_space_group_name_Hall '-R 3 2"'
loop_
_atom_site_label
_atom_site_fract_x
_atom_site_fract_y
_atom_site_fract_z
Fe1 0.0000 0.0000 0.0000
Os1 0.0000 0.0000 0.2539
Cl1 0.0000 0.0000 0.5000
# Relative energy among the computed polymorphs (eV per formula unit): 0.000
# E_form (uncorrected) (eV per atom): 0.655
# Total magnetic moment (μB per atom): 0.674

***

No. 6
# FeOs2Cl (meta-GGA SCAN, PBEsol geometry)
data_FeOs2Cl
_chemical_formula_sum 'Fe4 Os8 Cl4'
_cell_length_a 6.056
_cell_length_b 6.056
_cell_length_c 6.056
_cell_angle_alpha 90.00
_cell_angle_beta 90.00
_cell_angle_gamma 90.00
_space_group_name_H-M_alt 'F -4 3 m'
_space_group_IT_number 216
_space_group_name_Hall 'F -4 2 3'
loop_
_atom_site_label
_atom_site_fract_x
_atom_site_fract_y
_atom_site_fract_z
Fe1 0.000 0.000 0.000
Os1 0.000 0.000 0.500
Os2 0.250 0.250 0.250
Cl1 0.250 0.250 0.750
# Relative energy among the computed polymorphs (eV per formula unit): 1.802
# E_form (uncorrected) (eV per atom): 1.105
# Total magnetic moment (μB per atom): 0.699

***

In the order shown, the computed theoretical density values come out to 4.7, 9.5, 8.9, 13.9, 14.5, 14.1 Mg/m³.